VASP calculation (PBE) on crystalline ZrBeInNi at its relaxed geometry.

As for the formation energy from the elements: -0.212 eV/atom. As for the space group: F-43m. Its density of states at the Fermi level is 1.744 states/eV/f.u.

Geometry as POSCAR:
```
ZrBeInNi
1.0
4.4423 0.0000 0.0000
2.2211 3.8471 0.0000
2.2211 1.2824 3.6271
Zr Ni Be In
1 1 1 1
Direct
0.2500 0.2500 0.2500
0.0000 0.0000 0.0000
0.5000 0.5000 0.5000
0.7500 0.7500 0.7500
```



VASP calculation (PBE) on crystalline UTeIO at its relaxed geometry.

As for the space group: R3m. The uncorrected formation energy comes out at -1.56 eV per atom. Its density of states at the Fermi level is 2.426 states/eV/f.u.

Geometry as POSCAR:
```
UTeIO
1.0
3.8414 -0.0129 -0.0044
-1.9095 3.3333 0.0044
-1.9100 -1.1109 8.5025
I O Te U
1 1 1 1
Direct
0.3575 0.0436 0.4011
0.8426 0.2859 0.1285
0.9905 0.8595 0.8500
0.5016 0.6154 0.1170
```